# NdHoMo PBE optimized geometry
data_NdHoMo
_cell_length_a 7.1105
_cell_length_b 7.1105
_cell_length_c 5.8745
_cell_angle_alpha 97.38
_cell_angle_beta 97.38
_cell_angle_gamma 35.11
_symmetry_space_group_name_H-M 'P 1'
_symmetry_Int_Tables_number 1
loop_
_symmetry_equiv_pos_as_xyz
'x,y,z'
loop_
_atom_site_label
_atom_site_type_symbol
_atom_site_fract_x
_atom_site_fract_y
_atom_site_fract_z
Nd1 Nd 0.0684 0.0684 0.2723
Nd2 Nd 0.9316 0.9316 0.7277
Ho1 Ho 0.3444 0.3444 0.1449
Ho2 Ho 0.6556 0.6556 0.8551
Mo1 Mo 0.2427 0.2427 0.6057
Mo2 Mo 0.7573 0.7573 0.3943
# Symmetry ... C2/m, No. 12
# Formation energy from the elements ... 0.251 eV per atom
# Fermi-level density of states ... 6.49 states/eV/cell
# E ... -38.8 eV/cell
# Crystal system ... monoclinic